1.
TlAgBr2, optimized geometry, DFT PBE-GGA; SG = P2/m; magnetic moment = 0.00 μB/f.u.; formation energy without anion corrections = -542 meV/atom
1.0
3.987 0.000 0.000
0.000 4.193 -0.334
0.000 0.962 7.671
Tl Br Ag
1 2 1
direct
0.500 0.250 0.250
0.000 0.772 0.998
0.000 0.728 0.502
0.500 0.750 0.750

---

2.
Tl2Ag3Br5, optimized geometry, DFT PBE-GGA; SG = C2/m; magnetic moment = 0.00 μB/f.u.; formation energy without anion corrections = -532 meV/atom
1.0
-2.074 2.599 2.941
3.928 -0.683 6.725
5.370 7.891 0.163
Tl Ag Br
2 3 5
direct
0.331 0.072 0.266
0.669 0.928 0.734
0.500 0.500 0.500
0.108 0.649 0.136
0.892 0.351 0.864
0.000 0.000 0.000
0.093 0.239 0.576
0.907 0.761 0.424
0.683 0.440 0.195
0.317 0.560 0.805

---

3.
Tl2AgBr, optimized geometry, DFT PBE-GGA; SG = I-4m2; magnetic moment = 0.00 μB/f.u.; formation energy without anion corrections = -145 meV/atom
1.0
6.666 0.033 0.000
3.602 5.609 0.000
-5.134 -2.821 3.181
Tl Br Ag
2 1 1
direct
0.000 0.000 0.000
0.250 0.750 0.500
0.750 0.250 0.500
0.500 0.500 0.000

---

4.
TlAg2Br, optimized geometry, DFT PBE-GGA; SG = P4/mmm; magnetic moment = 0.00 μB/f.u.; formation energy without anion corrections = 22 meV/atom
1.0
-3.785 -0.917 0.137
0.661 -2.267 3.099
-1.081 5.050 3.924
Tl Br Ag
1 1 2
direct
0.500 0.500 0.750
0.500 0.500 0.250
0.000 0.000 0.970
0.000 0.000 0.530

---

5.
Tl3AgBr, optimized geometry, DFT PBE-GGA; SG = Pm-3m; magnetic moment = 0.00 μB/f.u.; formation energy without anion corrections = 205 meV/atom
1.0
6.072 0.000 0.000
0.000 6.072 0.000
0.000 0.000 6.072
Tl Br Ag
3 1 1
direct
0.000 0.500 0.000
0.000 0.000 0.500
0.500 0.000 0.000
0.000 0.000 0.000
0.500 0.500 0.500

---

6.
TlAg2Br, optimized geometry, DFT PBE-GGA; SG = Imm2; magnetic moment = 0.00 μB/f.u.; formation energy without anion corrections = 0 meV/atom
1.0
6.752 0.018 -0.038
4.224 5.268 0.038
-5.216 -3.207 2.845
Tl Br Ag
1 1 2
direct
0.265 0.765 0.500
0.533 0.533 0.000
0.942 0.942 0.000
0.759 0.259 0.500

---

7.
Tl2AgBr, optimized geometry, DFT PBE-GGA; SG = I-42d; magnetic moment = 0.00 μB/f.u.; formation energy without anion corrections = -111 meV/atom
1.0
7.083 0.000 0.000
0.000 7.083 0.000
3.541 3.541 6.833
Tl Br Ag
4 2 2
direct
0.658 0.125 0.250
0.092 0.625 0.250
0.375 0.342 0.750
0.875 0.908 0.750
0.500 0.500 0.000
0.250 0.750 0.500
0.000 0.000 0.000
0.750 0.250 0.500

---

8.
TlAgBr2, optimized geometry, DFT PBE-GGA; SG = Cm; magnetic moment = 0.00 μB/f.u.; formation energy without anion corrections = -580 meV/atom
1.0
7.846 0.509 -0.944
6.492 4.436 -0.944
-0.604 -0.208 4.108
Tl Br Ag
1 2 1
direct
0.563 0.563 0.689
0.933 0.933 0.058
0.192 0.192 0.317
0.813 0.813 0.437

---

9.
Tl5Ag3Br12, optimized geometry, DFT PBE-GGA; SG = Ia-3d; magnetic moment = 0.00 μB/f.u.; formation energy without anion corrections = -369 meV/atom
1.0
15.828 0.000 0.000
-5.276 14.923 0.000
-5.276 -7.462 12.924
Ag Tl Br
12 20 48
direct
0.750 0.375 0.125
0.875 0.750 0.125
0.375 0.750 0.625
0.250 0.125 0.375
0.875 0.125 0.250
0.375 0.625 0.250
0.625 0.375 0.750
0.125 0.875 0.750
0.750 0.875 0.625
0.625 0.250 0.375
0.125 0.250 0.875
0.250 0.625 0.875
0.125 0.375 0.250
0.000 0.500 0.000
0.000 0.000 0.000
0.375 0.250 0.125
0.500 0.000 0.500
0.500 0.500 0.000
0.125 0.750 0.375
0.750 0.125 0.875
0.750 0.625 0.375
0.375 0.125 0.750
0.625 0.875 0.250
0.500 0.500 0.500
0.500 0.000 0.000
0.000 0.000 0.500
0.250 0.375 0.625
0.250 0.875 0.125
0.000 0.500 0.500
0.875 0.250 0.625
0.625 0.750 0.875
0.875 0.625 0.750
0.720 0.155 0.045
0.325 0.545 0.391
0.955 0.345 0.280
0.545 0.220 0.155
0.566 0.720 0.675
0.955 0.609 0.175
0.325 0.780 0.434
0.109 0.934 0.155
0.609 0.955 0.675
0.720 0.566 0.175
0.780 0.455 0.345
0.825 0.891 0.045
0.155 0.720 0.545
0.345 0.391 0.066
0.066 0.891 0.345
0.434 0.155 0.609
0.066 0.175 0.220
0.455 0.675 0.109
0.825 0.934 0.280
0.155 0.434 0.109
0.345 0.955 0.780
0.609 0.655 0.434
0.891 0.825 0.545
0.780 0.325 0.934
0.391 0.345 0.566
0.109 0.175 0.455
0.220 0.675 0.066
0.175 0.066 0.720
0.655 0.045 0.220
0.845 0.566 0.891
0.545 0.325 0.891
0.566 0.845 0.391
0.934 0.825 0.780
0.934 0.109 0.655
0.845 0.280 0.455
0.175 0.109 0.955
0.655 0.609 0.934
0.391 0.045 0.325
0.280 0.434 0.825
0.220 0.545 0.655
0.891 0.066 0.845
0.675 0.220 0.566
0.455 0.780 0.845
0.045 0.391 0.825
0.434 0.280 0.325
0.045 0.655 0.720
0.675 0.455 0.609
0.280 0.845 0.955

---

10.
TlAgBr2, optimized geometry, DFT PBE-GGA; SG = R-3m; magnetic moment = 0.00 μB/f.u.; formation energy without anion corrections = -552 meV/atom
1.0
4.188 -6.100 4.638
7.210 -1.968 4.516
3.283 -2.171 7.795
Tl Br Ag
1 2 1
direct
0.500 0.500 0.500
0.900 0.900 0.900
0.100 0.100 0.100
0.000 0.000 0.000